Model a:
# TlCdHg (PBEsol, optimized geometry)
data_TlCdHg
_chemical_formula_sum 'Tl4 Cd4 Hg4'
_cell_length_a 6.849
_cell_length_b 6.849
_cell_length_c 6.849
_cell_angle_alpha 90.00
_cell_angle_beta 90.00
_cell_angle_gamma 90.00
_space_group_name_H-M_alt 'F -4 3 m'
_space_group_IT_number 216
_space_group_name_Hall 'F -4 2 3'
loop_
_atom_site_label
_atom_site_type_symbol
_atom_site_fract_x
_atom_site_fract_y
_atom_site_fract_z
Tl1 Tl 0.000 0.000 0.000
Cd1 Cd 0.000 0.000 0.500
Hg1 Hg 0.250 0.250 0.750
# - crystal system = cubic
# - magnetic moment (Bohr magnetons per cell) = 0.0
# - Fermi-level density of states (states/eV/f.u.) = 1.18


Model b:
# TlCdHg (PBEsol, optimized geometry)
data_TlCdHg
_chemical_formula_sum 'Tl1 Cd1 Hg1'
_cell_length_a 4.9039
_cell_length_b 4.9039
_cell_length_c 3.5814
_cell_angle_alpha 90.00
_cell_angle_beta 90.00
_cell_angle_gamma 120.00
_space_group_name_H-M_alt 'P 3 m 1'
_space_group_IT_number 156
loop_
_space_group_symop_operation_xyz
'x,y,z'
'-y,x-y,z'
'-x+y,-x,z'
'-y,-x,z'
'-x+y,y,z'
'x,x-y,z'
loop_
_atom_site_label
_atom_site_type_symbol
_atom_site_fract_x
_atom_site_fract_y
_atom_site_fract_z
Tl1 Tl 0.0000 0.0000 0.0000
Cd1 Cd 0.3333 0.6667 0.4200
Hg1 Hg 0.6667 0.3333 0.5810
# - crystal system = trigonal
# - magnetic moment (Bohr magnetons per cell) = 0.0
# - Fermi-level density of states (states/eV/f.u.) = 1.51


Least stable = model a


Model a:
# Zn2CdHg (PBEsol, optimized geometry)
data_Zn2CdHg
_chemical_formula_sum 'Zn4 Cd2 Hg2'
_cell_length_a 8.872
_cell_length_b 3.650
_cell_length_c 4.636
_cell_angle_alpha 90.00
_cell_angle_beta 102.08
_cell_angle_gamma 90.00
_space_group_name_H-M_alt 'C 1 m 1'
_space_group_IT_number 8
loop_
_space_group_symop_operation_xyz
'x,y,z'
'x,-y,z'
'x+1/2,y+1/2,z'
'x+1/2,-y+1/2,z'
loop_
_atom_site_label
_atom_site_type_symbol
_atom_site_fract_x
_atom_site_fract_y
_atom_site_fract_z
Zn1 Zn 0.000 0.000 0.000
Zn2 Zn 0.246 0.500 0.226
Cd1 Cd 0.495 0.000 0.466
Hg1 Hg 0.251 0.000 0.758
# - crystal system = monoclinic
# - magnetic moment (Bohr magnetons per cell) = 0.0
# - Fermi-level density of states (states/eV/f.u.) = 1.13


Model b:
# Zn2CdHg (PBEsol, optimized geometry)
data_Zn2CdHg
_chemical_formula_sum 'Zn2 Cd1 Hg1'
_cell_length_a 3.615
_cell_length_b 3.639
_cell_length_c 5.541
_cell_angle_alpha 90.00
_cell_angle_beta 90.00
_cell_angle_gamma 90.00
_space_group_name_H-M_alt 'P m m m'
_space_group_IT_number 47
loop_
_space_group_symop_operation_xyz
'x,y,z'
'-x,-y,-z'
'-x,-y,z'
'x,y,-z'
'x,-y,-z'
'-x,y,z'
'-x,y,-z'
'x,-y,z'
loop_
_atom_site_label
_atom_site_type_symbol
_atom_site_fract_x
_atom_site_fract_y
_atom_site_fract_z
Zn1 Zn 0.000 0.000 0.249
Cd1 Cd 0.500 0.500 0.500
Hg1 Hg 0.500 0.500 0.000
# - crystal system = orthorhombic
# - magnetic moment (Bohr magnetons per cell) = 0.0
# - Fermi-level density of states (states/eV/f.u.) = 1.11


Model c:
# Zn2CdHg (PBEsol, optimized geometry)
data_Zn2CdHg
_chemical_formula_sum 'Zn6 Cd3 Hg3'
_cell_length_a 3.0936
_cell_length_b 3.0936
_cell_length_c 26.3861
_cell_angle_alpha 90.00
_cell_angle_beta 90.00
_cell_angle_gamma 120.00
_space_group_name_H-M_alt 'R 3 m'
_space_group_IT_number 160
_space_group_name_Hall 'R 3 -2"'
loop_
_atom_site_label
_atom_site_type_symbol
_atom_site_fract_x
_atom_site_fract_y
_atom_site_fract_z
Zn1 Zn 0.0000 0.0000 0.0000
Zn2 Zn 0.0000 0.0000 0.2616
Cd1 Cd 0.0000 0.0000 0.5116
Hg1 Hg 0.0000 0.0000 0.7502
# - crystal system = trigonal
# - magnetic moment (Bohr magnetons per cell) = 0.0
# - Fermi-level density of states (states/eV/f.u.) = 1.11


Least stable = model b


Model a:
# Zn2CdHg (PBEsol, optimized geometry)
data_Zn2CdHg
_chemical_formula_sum 'Zn2 Cd1 Hg1'
_cell_length_a 2.894
_cell_length_b 3.907
_cell_length_c 6.379
_cell_angle_alpha 90.00
_cell_angle_beta 90.00
_cell_angle_gamma 90.00
_space_group_name_H-M_alt 'P m m 2'
_space_group_IT_number 25
loop_
_space_group_symop_operation_xyz
'x,y,z'
'-x,-y,z'
'-x,y,z'
'x,-y,z'
loop_
_atom_site_label
_atom_site_type_symbol
_atom_site_fract_x
_atom_site_fract_y
_atom_site_fract_z
Zn1 Zn 0.000 0.000 0.000
Zn2 Zn 0.500 0.500 0.194
Cd1 Cd 0.000 0.000 0.448
Hg1 Hg 0.500 0.500 0.742
# - crystal system = orthorhombic
# - magnetic moment (Bohr magnetons per cell) = 0.0
# - Fermi-level density of states (states/eV/f.u.) = 1.33


Model b:
# Zn2CdHg (PBEsol, optimized geometry)
data_Zn2CdHg
_chemical_formula_sum 'Zn4 Cd2 Hg2'
_cell_length_a 4.248
_cell_length_b 4.258
_cell_length_c 7.973
_cell_angle_alpha 90.00
_cell_angle_beta 90.00
_cell_angle_gamma 90.00
_space_group_name_H-M_alt 'C m m m'
_space_group_IT_number 65
_space_group_name_Hall '-C 2 2'
loop_
_atom_site_label
_atom_site_type_symbol
_atom_site_fract_x
_atom_site_fract_y
_atom_site_fract_z
Zn1 Zn 0.000 0.000 0.248
Cd1 Cd 0.000 0.500 0.000
Hg1 Hg 0.000 0.500 0.500
# - crystal system = orthorhombic
# - magnetic moment (Bohr magnetons per cell) = 0.0
# - Fermi-level density of states (states/eV/f.u.) = 1.35


Least stable = model b


Model a:
# Zn2CdHg (PBEsol, optimized geometry)
data_Zn2CdHg
_chemical_formula_sum 'Zn2 Cd1 Hg1'
_cell_length_a 3.283
_cell_length_b 4.304
_cell_length_c 5.224
_cell_angle_alpha 90.00
_cell_angle_beta 100.41
_cell_angle_gamma 90.00
_space_group_name_H-M_alt 'P 1 m 1'
_space_group_IT_number 6
loop_
_space_group_symop_operation_xyz
'x,y,z'
'x,-y,z'
loop_
_atom_site_label
_atom_site_type_symbol
_atom_site_fract_x
_atom_site_fract_y
_atom_site_fract_z
Zn1 Zn 0.000 0.000 0.000
Zn2 Zn 0.115 0.500 0.285
Cd1 Cd 0.655 0.000 0.464
Hg1 Hg 0.450 0.500 0.818
# - crystal system = monoclinic
# - magnetic moment (Bohr magnetons per cell) = 0.0
# - Fermi-level density of states (states/eV/f.u.) = 1.02


Model b:
# Zn2CdHg (PBEsol, optimized geometry)
data_Zn2CdHg
_chemical_formula_sum 'Zn2 Cd1 Hg1'
_cell_length_a 4.249
_cell_length_b 4.249
_cell_length_c 3.979
_cell_angle_alpha 90.00
_cell_angle_beta 90.00
_cell_angle_gamma 90.00
_space_group_name_H-M_alt 'P 4/m m m'
_space_group_IT_number 123
_space_group_name_Hall '-P 4 2'
loop_
_atom_site_label
_atom_site_type_symbol
_atom_site_fract_x
_atom_site_fract_y
_atom_site_fract_z
Zn1 Zn 0.000 0.500 0.000
Cd1 Cd 0.000 0.000 0.500
Hg1 Hg 0.500 0.500 0.500
# - crystal system = tetragonal
# - magnetic moment (Bohr magnetons per cell) = 0.0
# - Fermi-level density of states (states/eV/f.u.) = 1.37


Least stable = model b


Model a:
# Zn2CdHg (PBEsol, optimized geometry)
data_Zn2CdHg
_chemical_formula_sum 'Zn4 Cd2 Hg2'
_cell_length_a 2.791
_cell_length_b 4.673
_cell_length_c 11.404
_cell_angle_alpha 90.00
_cell_angle_beta 90.00
_cell_angle_gamma 90.00
_space_group_name_H-M_alt 'I m m 2'
_space_group_IT_number 44
loop_
_space_group_symop_operation_xyz
'x,y,z'
'-x,-y,z'
'-x,y,z'
'x,-y,z'
'x+1/2,y+1/2,z+1/2'
'-x+1/2,-y+1/2,z+1/2'
'-x+1/2,y+1/2,z+1/2'
'x+1/2,-y+1/2,z+1/2'
loop_
_atom_site_label
_atom_site_type_symbol
_atom_site_fract_x
_atom_site_fract_y
_atom_site_fract_z
Zn1 Zn 0.000 0.000 0.000
Zn2 Zn 0.000 0.500 0.305
Cd1 Cd 0.000 0.500 0.757
Hg1 Hg 0.000 0.000 0.554
# - crystal system = orthorhombic
# - magnetic moment (Bohr magnetons per cell) = 0.0
# - Fermi-level density of states (states/eV/f.u.) = 1.15


Model b:
# Zn2CdHg (PBEsol, optimized geometry)
data_Zn2CdHg
_chemical_formula_sum 'Zn4 Cd2 Hg2'
_cell_length_a 4.123
_cell_length_b 4.123
_cell_length_c 8.452
_cell_angle_alpha 90.00
_cell_angle_beta 90.00
_cell_angle_gamma 90.00
_space_group_name_H-M_alt 'I -4 m 2'
_space_group_IT_number 119
_space_group_name_Hall 'I -4 -2'
loop_
_atom_site_label
_atom_site_type_symbol
_atom_site_fract_x
_atom_site_fract_y
_atom_site_fract_z
Zn1 Zn 0.000 0.000 0.000
Zn2 Zn 0.000 0.500 0.250
Cd1 Cd 0.000 0.000 0.500
Hg1 Hg 0.000 0.500 0.750
# - crystal system = tetragonal
# - magnetic moment (Bohr magnetons per cell) = 0.0
# - Fermi-level density of states (states/eV/f.u.) = 1.19


Least stable = model b


Model a:
# Zn2Cd2Hg (PBEsol, optimized geometry)
data_Zn2Cd2Hg
_chemical_formula_sum 'Zn4 Cd4 Hg2'
_cell_length_a 3.676
_cell_length_b 3.676
_cell_length_c 14.597
_cell_angle_alpha 90.00
_cell_angle_beta 90.00
_cell_angle_gamma 90.00
_space_group_name_H-M_alt 'I 4/m m m'
_space_group_IT_number 139
_space_group_name_Hall '-I 4 2'
loop_
_atom_site_label
_atom_site_type_symbol
_atom_site_fract_x
_atom_site_fract_y
_atom_site_fract_z
Zn1 Zn 0.000 0.500 0.250
Cd1 Cd 0.000 0.000 0.104
Hg1 Hg 0.000 0.000 0.500
# - crystal system = tetragonal
# - magnetic moment (Bohr magnetons per cell) = 0.0
# - Fermi-level density of states (states/eV/f.u.) = 1.92


Model b:
# Zn2Cd2Hg (PBEsol, optimized geometry)
data_Zn2Cd2Hg
_chemical_formula_sum 'Zn4 Cd4 Hg2'
_cell_length_a 8.297
_cell_length_b 8.297
_cell_length_c 2.829
_cell_angle_alpha 90.00
_cell_angle_beta 90.00
_cell_angle_gamma 90.00
_space_group_name_H-M_alt 'P 4/m b m'
_space_group_IT_number 127
_space_group_name_Hall '-P 4 2ab'
loop_
_atom_site_label
_atom_site_type_symbol
_atom_site_fract_x
_atom_site_fract_y
_atom_site_fract_z
Zn1 Zn 0.114 0.386 0.000
Cd1 Cd 0.183 0.683 0.500
Hg1 Hg 0.000 0.000 0.500
# - crystal system = tetragonal
# - magnetic moment (Bohr magnetons per cell) = 0.0
# - Fermi-level density of states (states/eV/f.u.) = 1.76


Least stable = model a


Model a:
# CdPbI2N (PBEsol, optimized geometry)
data_CdPbI2N
_chemical_formula_sum 'Cd1 Pb1 I2 N1'
_cell_length_a 6.008
_cell_length_b 6.008
_cell_length_c 4.100
_cell_angle_alpha 90.00
_cell_angle_beta 90.00
_cell_angle_gamma 90.00
_space_group_name_H-M_alt 'P 4/m m m'
_space_group_IT_number 123
_space_group_name_Hall '-P 4 2'
loop_
_atom_site_label
_atom_site_type_symbol
_atom_site_fract_x
_atom_site_fract_y
_atom_site_fract_z
Cd1 Cd 0.000 0.000 0.000
Pb1 Pb 0.500 0.500 0.500
I1 I 0.000 0.500 0.000
N1 N 0.000 0.000 0.500
# - crystal system = tetragonal
# - magnetic moment (Bohr magnetons per cell) = 1.4
# - Fermi-level density of states (states/eV/f.u.) = 2.25


Model b:
# CdPbI2N (PBEsol, optimized geometry)
data_CdPbI2N
_chemical_formula_sum 'Cd1 Pb1 I2 N1'
_cell_length_a 6.154
_cell_length_b 6.154
_cell_length_c 4.210
_cell_angle_alpha 90.00
_cell_angle_beta 90.00
_cell_angle_gamma 90.00
_space_group_name_H-M_alt 'P 4/m m m'
_space_group_IT_number 123
_space_group_name_Hall '-P 4 2'
loop_
_atom_site_label
_atom_site_type_symbol
_atom_site_fract_x
_atom_site_fract_y
_atom_site_fract_z
Cd1 Cd 0.000 0.000 0.000
Pb1 Pb 0.500 0.500 0.500
I1 I 0.000 0.500 0.500
N1 N 0.500 0.500 0.000
# - crystal system = tetragonal
# - magnetic moment (Bohr magnetons per cell) = 0.9
# - Fermi-level density of states (states/eV/f.u.) = 6.10


Least stable = model b


Model a:
# CdSnI2N (PBEsol, optimized geometry)
data_CdSnI2N
_chemical_formula_sum 'Cd1 Sn1 I2 N1'
_cell_length_a 6.007
_cell_length_b 6.007
_cell_length_c 3.866
_cell_angle_alpha 90.00
_cell_angle_beta 90.00
_cell_angle_gamma 90.00
_space_group_name_H-M_alt 'P 4/m m m'
_space_group_IT_number 123
_space_group_name_Hall '-P 4 2'
loop_
_atom_site_label
_atom_site_type_symbol
_atom_site_fract_x
_atom_site_fract_y
_atom_site_fract_z
Cd1 Cd 0.000 0.000 0.000
Sn1 Sn 0.500 0.500 0.500
I1 I 0.000 0.500 0.500
N1 N 0.500 0.500 0.000
# - crystal system = tetragonal
# - magnetic moment (Bohr magnetons per cell) = 0.0
# - Fermi-level density of states (states/eV/f.u.) = 2.95


Model b:
# CdSnI2N (PBEsol, optimized geometry)
data_CdSnI2N
_chemical_formula_sum 'Cd1 Sn1 I2 N1'
_cell_length_a 5.970
_cell_length_b 5.970
_cell_length_c 4.094
_cell_angle_alpha 90.00
_cell_angle_beta 90.00
_cell_angle_gamma 90.00
_space_group_name_H-M_alt 'P 4/m m m'
_space_group_IT_number 123
_space_group_name_Hall '-P 4 2'
loop_
_atom_site_label
_atom_site_type_symbol
_atom_site_fract_x
_atom_site_fract_y
_atom_site_fract_z
Cd1 Cd 0.000 0.000 0.000
Sn1 Sn 0.500 0.500 0.500
I1 I 0.000 0.500 0.000
N1 N 0.000 0.000 0.500
# - crystal system = tetragonal
# - magnetic moment (Bohr magnetons per cell) = 1.4
# - Fermi-level density of states (states/eV/f.u.) = 2.34


Least stable = model b